# Ce3Y4O12 | the Alexandria database | GGA-PBE | optimized geometry
# Uncorrected formation energy ... -3.442 eV per atom
data_Ce3Y4O12
_chemical_formula_sum 'Ce6 Y8 O24'
_symmetry_space_group_name_H-M 'C 1 m 1'
_symmetry_Int_Tables_number 8
_cell_length_a 27.628
_cell_length_b 3.754
_cell_length_c 5.493
_cell_angle_alpha 90.00
_cell_angle_beta 101.42
_cell_angle_gamma 90.00
loop_
_symmetry_equiv_pos_as_xyz
'x,y,z'
'x,-y,z'
'x+1/2,y+1/2,z'
'x+1/2,-y+1/2,z'
loop_
_atom_site_label
_atom_site_type_symbol
_atom_site_fract_x
_atom_site_fract_y
_atom_site_fract_z
_atom_site_occupancy
Ce1 Ce 0.000 0.000 0.000 1
Ce2 Ce 0.068 0.500 0.577 1
Ce3 Ce 0.423 0.000 0.431 1
Y1 Y 0.147 0.000 0.099 1
Y2 Y 0.216 0.500 0.725 1
Y3 Y 0.285 0.000 0.352 1
Y4 Y 0.361 0.500 0.864 1
O1 O 0.000 0.500 0.751 1
O2 O 0.003 0.500 0.254 1
O3 O 0.070 0.000 0.817 1
O4 O 0.084 0.000 0.337 1
O5 O 0.145 0.500 0.882 1
O6 O 0.198 0.000 0.466 1
O7 O 0.229 0.000 0.991 1
O8 O 0.284 0.500 0.566 1
O9 O 0.345 0.000 0.118 1
O10 O 0.360 0.000 0.625 1
O11 O 0.428 0.500 0.185 1
O12 O 0.431 0.500 0.689 1

---

# CeYO3 | the Alexandria database | GGA-PBE | optimized geometry
# Uncorrected formation energy ... -3.235 eV per atom
data_CeYO3
_chemical_formula_sum 'Ce1 Y1 O3'
_symmetry_space_group_name_H-M 'P -6 m 2'
_symmetry_Int_Tables_number 187
_symmetry_space_group_name_Hall 'P -6 2'
_cell_length_a 6.0916
_cell_length_b 6.0916
_cell_length_c 3.1224
_cell_angle_alpha 90.00
_cell_angle_beta 90.00
_cell_angle_gamma 120.00
loop_
_atom_site_label
_atom_site_type_symbol
_atom_site_fract_x
_atom_site_fract_y
_atom_site_fract_z
_atom_site_occupancy
Ce1 Ce 0.0000 0.0000 0.0000 1
Y1 Y 0.3333 0.6667 0.0000 1
O1 O 0.1701 0.3402 0.5000 1

---

# Ce6YO12 | the Alexandria database | GGA-PBE | optimized geometry
# Uncorrected formation energy ... -3.484 eV per atom
data_Ce6YO12
_chemical_formula_sum 'Ce18 Y3 O36'
_symmetry_space_group_name_H-M 'R -3'
_symmetry_Int_Tables_number 148
_symmetry_space_group_name_Hall '-R 3'
_cell_length_a 10.3054
_cell_length_b 10.3054
_cell_length_c 9.5609
_cell_angle_alpha 90.00
_cell_angle_beta 90.00
_cell_angle_gamma 120.00
loop_
_atom_site_label
_atom_site_type_symbol
_atom_site_fract_x
_atom_site_fract_y
_atom_site_fract_z
_atom_site_occupancy
Ce1 Ce 0.0481 0.7916 0.1555 1
Y1 Y 0.0000 0.0000 0.5000 1
O1 O 0.0349 0.8148 0.8975 1
O2 O 0.0364 0.8230 0.3925 1

---

# CeY2O | the Alexandria database | GGA-PBE | optimized geometry
# E above lowest polymorph ... 0.376 eV per atom
# Uncorrected formation energy ... -0.814 eV per atom
data_CeY2O
_chemical_formula_sum 'Ce1 Y2 O1'
_symmetry_space_group_name_H-M 'P 4/m m m'
_symmetry_Int_Tables_number 123
_symmetry_space_group_name_Hall '-P 4 2'
_cell_length_a 3.146
_cell_length_b 3.146
_cell_length_c 8.777
_cell_angle_alpha 90.00
_cell_angle_beta 90.00
_cell_angle_gamma 90.00
loop_
_atom_site_label
_atom_site_type_symbol
_atom_site_fract_x
_atom_site_fract_y
_atom_site_fract_z
_atom_site_occupancy
Ce1 Ce 0.000 0.000 0.000 1
Y1 Y 0.500 0.500 0.324 1
O1 O 0.000 0.000 0.500 1

---

# Ce4YO10 | the Alexandria database | GGA-PBE | optimized geometry
# Uncorrected formation energy ... -3.299 eV per atom
data_Ce4YO10
_chemical_formula_sum 'Ce12 Y3 O30'
_symmetry_space_group_name_H-M 'R -3 m'
_symmetry_Int_Tables_number 166
_symmetry_space_group_name_Hall '-R 3 2"'
_cell_length_a 3.8649
_cell_length_b 3.8649
_cell_length_c 47.2222
_cell_angle_alpha 90.00
_cell_angle_beta 90.00
_cell_angle_gamma 120.00
loop_
_atom_site_label
_atom_site_type_symbol
_atom_site_fract_x
_atom_site_fract_y
_atom_site_fract_z
_atom_site_occupancy
Ce1 Ce 0.0000 0.0000 0.1004 1
Ce2 Ce 0.0000 0.0000 0.2999 1
Y1 Y 0.0000 0.0000 0.5000 1
O1 O 0.0000 0.0000 0.0500 1
O2 O 0.0000 0.0000 0.1496 1
O3 O 0.0000 0.0000 0.2500 1
O4 O 0.0000 0.0000 0.3500 1
O5 O 0.0000 0.0000 0.4495 1

---

# Ce2Y2O7 | the Alexandria database | GGA-PBE | optimized geometry
# E above lowest polymorph ... 0.000 eV per atom
# Uncorrected formation energy ... -3.435 eV per atom
data_Ce2Y2O7
_chemical_formula_sum 'Ce4 Y4 O14'
_symmetry_space_group_name_H-M 'P m m a'
_symmetry_Int_Tables_number 51
_cell_length_a 7.799
_cell_length_b 3.759
_cell_length_c 10.904
_cell_angle_alpha 90.00
_cell_angle_beta 90.00
_cell_angle_gamma 90.00
loop_
_symmetry_equiv_pos_as_xyz
'x,y,z'
'-x,-y,-z'
'-x+1/2,-y,z'
'x+1/2,y,-z'
'x+1/2,-y,-z'
'-x+1/2,y,z'
'-x,y,-z'
'x,-y,z'
loop_
_atom_site_label
_atom_site_type_symbol
_atom_site_fract_x
_atom_site_fract_y
_atom_site_fract_z
_atom_site_occupancy
Ce1 Ce 0.000 0.000 0.000 1
Ce2 Ce 0.250 0.500 0.255 1
Y1 Y 0.000 0.000 0.500 1
Y2 Y 0.250 0.500 0.769 1
O1 O 0.011 0.500 0.122 1
O2 O 0.043 0.500 0.626 1
O3 O 0.250 0.000 0.135 1
O4 O 0.250 0.000 0.392 1
O5 O 0.250 0.000 0.874 1

---

- The highest uncorrected formation energy belongs to which entry?
  CeY2O

---

- uncorrected formation energy of number 4 (CeY2O)?
  -0.814 eV per atom